Entry 1:
Computed, not measured: crystalline ZrP2ICl at its relaxed geometry at the PBE level of DFT.

- space-group type = P4/mmm (123)
- uncorrected formation energy (eV/atom) = 1.112
- M_tot (Bohr magnetons per cell) = 0.79

a = 5.1144 Å, b = 5.1144 Å, c = 5.0569 Å
α = 90.00°, β = 90.00°, γ = 90.00°
Fractional positions:
I (0.0000, 0.0000, 0.0000)
P (0.0000, 0.5000, 0.0000)
P (0.5000, 0.0000, 0.0000)
Zr (0.5000, 0.5000, 0.5000)
Cl (0.0000, 0.0000, 0.5000)

Entry 2:
Computed, not measured: crystalline PaI3Cl2 at its relaxed geometry at the PBE level of DFT.

- space-group type = C2/c (15)
- uncorrected formation energy (eV/atom) = -1.279
- M_tot (Bohr magnetons per cell) = 0.00

a = 8.1487 Å, b = 8.1487 Å, c = 13.3179 Å
α = 54.70°, β = 54.70°, γ = 75.15°
Fractional positions:
Pa (0.6581, 0.3419, 0.2500)
Pa (0.3419, 0.6581, 0.7500)
I (0.3634, 0.6366, 0.2500)
I (0.6366, 0.3634, 0.7500)
I (0.1076, 0.2601, 0.0645)
I (0.7399, 0.8924, 0.4355)
I (0.8924, 0.7399, 0.9355)
I (0.2601, 0.1076, 0.5645)
Cl (0.7835, 0.4436, 0.3408)
Cl (0.5564, 0.2165, 0.1592)
Cl (0.4436, 0.7835, 0.8408)
Cl (0.2165, 0.5564, 0.6592)

Entry 3:
Computed, not measured: crystalline PaI5Cl2 at its relaxed geometry at the PBE level of DFT.

- space-group type = Cm (8)
- uncorrected formation energy (eV/atom) = -0.828
- M_tot (Bohr magnetons per cell) = 0.00

a = 8.4857 Å, b = 7.9815 Å, c = 8.1021 Å
α = 107.68°, β = 121.58°, γ = 90.00°
Fractional positions:
Pa (0.0180, 0.8972, 0.0360)
I (0.9393, 0.2617, 0.2354)
I (0.2961, 0.2617, 0.2354)
I (0.6906, 0.6534, 0.9054)
I (0.2147, 0.6534, 0.9054)
I (0.8225, 0.9552, 0.6451)
Cl (0.1926, 0.8696, 0.3852)
Cl (0.6031, 0.2247, 0.2062)